[1]
First-principles (PBE-GGA) data for a relaxed structure of TeMoRu2, as listed in the Alexandria database.

Results
The volume comes out at 63.6 Å³/f.u. For the energy relative to the elements, uncorrected, the calculation gives 0.34 eV per atom.

Cell lengths 3.958, 3.958, 8.121 Å; angles 90.00, 90.00, 90.00 degrees
Space group I-4m2 (No. 119)
Inequivalent atoms, fractional coordinates:
Te (0.000, 0.000, 0.000)
Mo (0.000, 0.500, 0.750)
Ru (0.000, 0.000, 0.500)
Ru (0.000, 0.500, 0.250)

[2]
First-principles (PBE-GGA) data for a relaxed structure of TeMoRu2, as listed in the Alexandria database.

Results
The volume comes out at 66.5 Å³/f.u. For the energy relative to the elements, uncorrected, the calculation gives 0.39 eV per atom.

Cell lengths 2.9797, 2.9797, 25.9474 Å; angles 90.00, 90.00, 120.00 degrees
Space group R-3m (No. 166, hexagonal axes)
Inequivalent atoms, fractional coordinates:
Te (0.0000, 0.0000, 0.0000)
Mo (0.0000, 0.0000, 0.5000)
Ru (0.0000, 0.0000, 0.2472)

[3]
First-principles (PBE-GGA) data for a relaxed structure of TeMoRu2, as listed in the Alexandria database.

Results
The volume comes out at 64.4 Å³/f.u. For the energy relative to the elements, uncorrected, the calculation gives 0.40 eV per atom.

Cell lengths 6.363, 6.363, 6.363 Å; angles 90.00, 90.00, 90.00 degrees
Space group F-43m (No. 216)
Inequivalent atoms, fractional coordinates:
Te (0.000, 0.000, 0.000)
Mo (0.250, 0.250, 0.750)
Ru (0.000, 0.000, 0.500)
Ru (0.250, 0.250, 0.250)

[4]
First-principles (PBE-GGA) data for a relaxed structure of Te4Mo2Ru, as listed in the Alexandria database.

Results
The volume comes out at 181.3 Å³/f.u. For the energy relative to the elements, uncorrected, the calculation gives -0.29 eV per atom.

Cell lengths 7.108, 7.153, 7.173 Å; angles 92.46, 93.41, 94.45 degrees
Space group P1 (No. 1)
Inequivalent atoms, fractional coordinates:
Te (0.000, 0.000, 0.000)
Te (0.045, 0.399, 0.674)
Te (0.137, 0.881, 0.510)
Te (0.386, 0.354, 0.261)
Te (0.463, 0.827, 0.093)
Te (0.541, 0.227, 0.761)
Te (0.636, 0.730, 0.620)
Te (0.883, 0.503, 0.164)
Mo (0.016, 0.203, 0.338)
Mo (0.508, 0.029, 0.427)
Mo (0.677, 0.166, 0.133)
Mo (0.803, 0.868, 0.296)
Ru (0.716, 0.375, 0.475)
Ru (0.847, 0.065, 0.640)

[5]
First-principles (PBE-GGA) data for a relaxed structure of Te6Mo2Ru, as listed in the Alexandria database.

Results
The volume comes out at 284.7 Å³/f.u. For the energy relative to the elements, uncorrected, the calculation gives -0.11 eV per atom.

Cell lengths 14.777, 11.913, 6.474 Å; angles 90.00, 92.13, 90.00 degrees
Space group C2/c (No. 15)
Inequivalent atoms, fractional coordinates:
Te (0.093, 0.133, 0.424)
Te (0.139, 0.169, 0.919)
Te (0.158, 0.470, 0.570)
Mo (0.198, 0.002, 0.682)
Ru (0.000, 0.042, 0.750)

[6]
First-principles (PBE-GGA) data for a relaxed structure of TeMoRu2, as listed in the Alexandria database.

Results
The volume comes out at 64.3 Å³/f.u. For the energy relative to the elements, uncorrected, the calculation gives 0.35 eV per atom.

Cell lengths 3.135, 4.547, 9.018 Å; angles 90.00, 90.00, 90.00 degrees
Space group Immm (No. 71)
Inequivalent atoms, fractional coordinates:
Te (0.000, 0.000, 0.000)
Mo (0.000, 0.000, 0.500)
Ru (0.000, 0.500, 0.268)

[7]
First-principles (PBE-GGA) data for a relaxed structure of TeMoRu2, as listed in the Alexandria database.

Results
The volume comes out at 65.9 Å³/f.u. For the energy relative to the elements, uncorrected, the calculation gives 0.37 eV per atom.

Cell lengths 2.919, 4.134, 5.651 Å; angles 90.00, 104.85, 90.00 degrees
Space group Pm (No. 6)
Inequivalent atoms, fractional coordinates:
Te (0.000, 0.000, 0.000)
Mo (0.621, 0.500, 0.247)
Ru (0.238, 0.000, 0.481)
Ru (0.853, 0.500, 0.711)

[8]
First-principles (PBE-GGA) data for a relaxed structure of TeMoRu2, as listed in the Alexandria database.

Results
The volume comes out at 66.3 Å³/f.u. For the energy relative to the elements, uncorrected, the calculation gives 0.50 eV per atom.

Cell lengths 2.9804, 2.9804, 25.8452 Å; angles 90.00, 90.00, 120.00 degrees
Space group R3m (No. 160, hexagonal axes)
Inequivalent atoms, fractional coordinates:
Te (0.0000, 0.0000, 0.0000)
Mo (0.0000, 0.0000, 0.7573)
Ru (0.0000, 0.0000, 0.2527)
Ru (0.0000, 0.0000, 0.5026)

- Number 4 is which compound?
  Te4Mo2Ru